# Cs2DyCr3F12

An optimized crystal structure of Cs2DyCr3F12 (PBE+U, Alexandria via LeMat-Bulk).

Cell lengths 7.928, 7.928, 7.928 Å; angles 57.21, 57.21, 57.21 degrees
Atoms (fractional coordinates):
Cs (0.615, 0.615, 0.615)
Cs (0.385, 0.385, 0.385)
Dy (0.000, 0.000, 0.000)
Cr (0.500, 0.000, 0.000)
Cr (0.000, 0.500, 0.000)
Cr (0.000, 0.000, 0.500)
F (0.309, 0.309, 0.920)
F (0.918, 0.918, 0.341)
F (0.341, 0.918, 0.918)
F (0.920, 0.309, 0.309)
F (0.918, 0.341, 0.918)
F (0.309, 0.920, 0.309)
F (0.691, 0.691, 0.080)
F (0.082, 0.082, 0.659)
F (0.659, 0.082, 0.082)
F (0.080, 0.691, 0.691)
F (0.082, 0.659, 0.082)
F (0.691, 0.080, 0.691)

Values from the calculation:
- Mass density: 4.1 g/cm3
- Space-group type: No. 166
- Energy: -105.7 eV/f.u.